Entry 1:
An optimized crystal structure of KCd2Si. Source: Alexandria via LeMat-Bulk, functional GGA-PBE.

Cell and atoms, written as POSCAR:
```
KCd2Si
1.0
-0.9603 -1.8777 -6.4716
2.3344 -4.5646 -4.4772
-2.2053 -5.3568 -3.5736
Cd K Si
2 1 1
Direct
0.0421 0.0421 0.0421
0.4579 0.4579 0.4579
0.2500 0.2500 0.2500
0.7500 0.7500 0.7500
```

- DOS(E_F): 1.96 states/eV/f.u.
- Formation energy without anion corrections: 0.138 eV/atom

Entry 2:
An optimized crystal structure of RbNi2Br. Source: Alexandria via LeMat-Bulk, functional GGA-PBE.

Cell and atoms, written as POSCAR:
```
RbNi2Br
1.0
-2.4795 3.2113 -3.2226
-0.3518 -3.7944 -3.5105
-8.0406 -2.4257 -0.3959
Ni Br Rb
4 2 2
Direct
0.3751 0.1250 0.2500
0.3749 0.6250 0.2500
0.3750 0.6249 0.7500
0.8750 0.6251 0.7500
0.5000 0.5000 0.0000
0.2500 0.7500 0.5000
0.0000 0.0000 0.0000
0.7500 0.2500 0.5000
```

- DOS(E_F): 0.52 states/eV/f.u.
- Formation energy without anion corrections: 0.247 eV/atom

Entry 3:
An optimized crystal structure of Ac2Sn4Ir3Pd. Source: Alexandria via LeMat-Bulk, functional GGA-PBE.

Cell and atoms, written as POSCAR:
```
Ac2Sn4Ir3Pd
1.0
4.6631 0.0000 0.0000
0.0000 4.6631 0.0000
0.0000 0.0000 10.7438
Ac Sn Ir Pd
2 4 3 1
Direct
0.5000 0.0000 0.2508
0.0000 0.5000 0.7492
0.5000 0.5000 0.0000
0.0000 0.0000 0.0000
0.5000 0.0000 0.6252
0.0000 0.5000 0.3748
0.0000 0.0000 0.5000
0.5000 0.0000 0.8706
0.0000 0.5000 0.1294
0.5000 0.5000 0.5000
```

- DOS(E_F): 8.62 states/eV/f.u.
- Formation energy from the elements: -6.5 eV per formula unit

Entry 4:
An optimized crystal structure of PrAl9Ni2. Source: Alexandria via LeMat-Bulk, functional GGA-PBE.

Cell and atoms, written as POSCAR:
```
PrAl9Ni2
1.0
-1.2413 6.2532 3.0097
-1.6403 -0.2469 8.0934
6.6635 3.8514 3.0033
Pr Al Ni
2 18 4
Direct
0.5000 0.0000 0.0000
0.2500 0.5000 0.5000
0.7500 0.5000 0.5000
0.0000 0.0000 0.0000
0.0130 0.9238 0.6777
0.6145 0.0762 0.3223
0.6867 0.1777 0.5762
0.4407 0.8223 0.4238
0.7370 0.8223 0.5762
0.1355 0.1777 0.4238
0.0633 0.9238 0.3223
0.3093 0.0762 0.6777
0.7370 0.5762 0.8223
0.1355 0.4238 0.1777
0.0633 0.3223 0.9238
0.3093 0.6777 0.0762
0.0130 0.6777 0.9238
0.6145 0.3223 0.0762
0.6867 0.5762 0.1777
0.4407 0.4238 0.8223
0.8750 0.2500 0.7500
0.8750 0.7500 0.2500
0.8750 0.2500 0.2500
0.3750 0.7500 0.7500
```

- DOS(E_F): 4.10 states/eV/f.u.
- Formation energy from the elements: -4.4 eV per formula unit

Entry 5:
An optimized crystal structure of Y2Tm2Al3. Source: Alexandria via LeMat-Bulk, functional GGA-PBE.

Cell and atoms, written as POSCAR:
```
Y2Tm2Al3
1.0
3.4949 0.3590 0.5587
-0.8558 8.1264 0.1296
0.9149 -0.8165 6.1134
Y Tm Al
2 2 3
Direct
0.6982 0.8398 0.6045
0.3018 0.1602 0.3955
0.5608 0.2946 0.8790
0.4392 0.7054 0.1210
0.0000 0.0000 0.0000
0.8379 0.4611 0.3236
0.1621 0.5389 0.6764
```

- DOS(E_F): 6.47 states/eV/f.u.
- Formation energy from the elements: -2.0 eV per formula unit

Entry 6:
An optimized crystal structure of Cs3FeGe. Source: Alexandria via LeMat-Bulk, functional GGA-PBE.

Cell and atoms, written as POSCAR:
```
Cs3FeGe
1.0
-1.7109 -6.1889 -1.7005
5.6224 -0.5964 -3.4863
3.0956 -2.3374 5.3921
Cs Fe Ge
3 1 1
Direct
0.0000 0.5000 0.0000
0.0000 0.0000 0.5000
0.5000 0.0000 0.0000
0.0000 0.0000 0.0000
0.5000 0.5000 0.5000
```

- DOS(E_F): 13.03 states/eV/f.u.
- Formation energy from the elements: 4.9 eV per formula unit

Entry 7:
An optimized crystal structure of Y3HoTm7. Source: Alexandria via LeMat-Bulk, functional GGA-PBE.

Cell and atoms, written as POSCAR:
```
Y3HoTm7
1.0
-2.1341 -0.5592 -4.9911
-3.2768 -9.0184 2.4096
-2.5780 5.4010 6.4652
Y Ho Tm
3 1 7
Direct
0.2808 0.0036 0.7810
0.0000 0.5000 0.0000
0.7192 0.9964 0.2190
0.5000 0.5000 0.5000
0.9081 0.8304 0.9081
0.8584 0.7081 0.3583
0.6795 0.3594 0.1795
0.3205 0.6406 0.8205
0.5000 0.0000 0.5000
0.1416 0.2919 0.6417
0.0919 0.1696 0.0919
```

- DOS(E_F): 20.32 states/eV/f.u.
- Formation energy from the elements: 1.9 eV per formula unit

Entry 8:
An optimized crystal structure of YAgGePt2. Source: Alexandria via LeMat-Bulk, functional GGA-PBE.

Cell and atoms, written as POSCAR:
```
YAgGePt2
1.0
-2.3834 1.4206 -4.1294
3.0735 -2.9291 -2.7816
-3.1615 -3.8066 0.5152
Y Ge Ag Pt
1 1 1 2
Direct
0.0000 0.5000 0.0000
0.5000 0.5000 0.5000
0.0000 0.0000 0.0000
0.0000 0.0000 0.5000
0.5000 0.0000 0.0000
```

- DOS(E_F): 4.70 states/eV/f.u.
- Formation energy from the elements: 3.5 eV per formula unit